# 1
Density functional theory data (PBE) for a relaxed structure of TlCoAu2.

The calculation puts the formation energy from the elements at 0.36 eV/atom. The calculated volume is 17.875 A^3/atom.

The structure belongs to space group F-43m (No. 216); the cell edges are 6.588, 6.588 and 6.588 Å and the angles 90.00°, 90.00° and 90.00°. Symmetry generates all atoms from Tl at (0.000, 0.000, 0.000), Co at (0.250, 0.250, 0.250), Au at (0.000, 0.000, 0.500) and Au at (0.250, 0.250, 0.750).

# 2
Density functional theory data (PBE) for a relaxed structure of BePbSe2Br.

The calculation puts the formation energy (no corrections) at -23 kJ/mol of atoms. The calculated volume is 22.767 A^3/atom.

The structure belongs to space group P4/mmm (No. 123); the cell edges are 4.657, 4.657 and 5.248 Å and the angles 90.00°, 90.00° and 90.00°. Symmetry generates all atoms from Be at (0.000, 0.000, 0.000), Pb at (0.500, 0.500, 0.500), Se at (0.000, 0.500, 0.000) and Br at (0.000, 0.000, 0.500).

# 3
Density functional theory data (PBE) for a relaxed structure of Pm5CdIn3.

The calculation puts the formation energy from the elements at -0.40 eV/atom. The calculated volume is 29.652 A^3/atom.

The structure belongs to space group P6_3/mcm (No. 193); the cell edges are 9.5466, 9.5466 and 6.7623 Å and the angles 90.00°, 90.00° and 120.00°. Symmetry generates all atoms from Pm at (0.0000, 0.2946, 0.2500), Pm at (0.3333, 0.6667, 0.0000), Cd at (0.0000, 0.0000, 0.0000) and In at (0.0000, 0.3662, 0.7500).

# 4
Density functional theory data (PBE) for a relaxed structure of KThTeO5.

The calculation puts the formation energy (no corrections) at -202 kJ/mol of atoms. The calculated volume is 19.922 A^3/atom.

The structure belongs to space group C2/c (No. 15); the cell edges are 8.098, 10.259 and 8.588 Å and the angles 90.00°, 116.68° and 90.00°. Symmetry generates all atoms from K at (0.000, 0.179, 0.250), Th at (0.000, 0.500, 0.000), Te at (0.000, 0.190, 0.750), O at (0.000, 0.451, 0.250), O at (0.085, 0.277, 0.592) and O at (0.184, 0.068, 0.888).

# 5
Density functional theory data (PBE) for a relaxed structure of FePPtS2.

The calculation puts the formation energy (no corrections) at 66 kJ/mol of atoms. The calculated volume is 16.264 A^3/atom.

The structure belongs to space group P4/mmm (No. 123); the cell edges are 4.387, 4.387 and 4.226 Å and the angles 90.00°, 90.00° and 90.00°. Symmetry generates all atoms from Fe at (0.000, 0.000, 0.000), P at (0.000, 0.000, 0.500), Pt at (0.500, 0.500, 0.500) and S at (0.000, 0.500, 0.000).

# 6
Density functional theory data (PBE) for a relaxed structure of FeReRh2.

The calculation puts the formation energy from the elements at -0.08 eV/atom. The calculated volume is 13.824 A^3/atom.

The structure belongs to space group Pmmm (No. 47); the cell edges are 2.712, 3.796 and 5.370 Å and the angles 90.00°, 90.00° and 90.00°. Symmetry generates all atoms from Fe at (0.000, 0.000, 0.000), Re at (0.000, 0.000, 0.500) and Rh at (0.500, 0.500, 0.248).